Computed, not measured: a geometry-optimized La3CoBi structure at the PBE-GGA level of DFT.

The value obtained for the formation energy from the elements is -0.35 eV per atom. For the energy relative to the lowest polymorph listed for this composition, the calculation gives 143 meV per atom. Its crystal system is monoclinic. As for the total energy: -110.1 eV/cell. The density comes out at 7.110 g/cm3.

The space group is Cm (No. 8) and the conventional cell measures 12.633, 7.290 and 8.136 Å, with angles of 90.00, 121.39 and 90.00 degrees. The inequivalent atoms are La at (0.000, 0.000, 0.000), La at (0.071, 0.258, 0.459), La at (0.247, 0.247, 0.000), La at (0.313, 0.500, 0.460), Co at (0.226, 0.500, 0.683), Co at (0.410, 0.500, 0.235), Bi at (0.010, 0.500, 0.037) and Bi at (0.304, 0.000, 0.414).